No. 1
Sm3PuTl4 | PBE-GGA | optimized geometry

Uncorrected energy (eV per cell): -40.14
Formation enthalpy at 0 K (eV per atom): -0.27
SG: P4/mmm (123)

Lattice parameters (Å, degrees): 3.6061 3.6061 17.4924 90.00 90.00 90.00
Last column: magnetic moment on the atom in μB.
Element x y z (fractional)
Sm 0.5000 0.5000 0.2516  -0.08
Sm 0.5000 0.5000 0.5000  0.06
Tl 0.0000 0.0000 0.3756  0.00
Sm 0.5000 0.5000 0.7484  -0.08
Pu 0.5000 0.5000 0.0000  5.54
Tl 0.0000 0.0000 0.8742  -0.01
Tl 0.0000 0.0000 0.6244  0.00
Tl 0.0000 0.0000 0.1258  -0.01

=====

No. 2
SmPu3Tl4 | PBE-GGA | optimized geometry

Uncorrected energy (eV per cell): -58.04
Formation enthalpy at 0 K (eV per atom): -0.11
SG: P4/mmm (123)

Lattice parameters (Å, degrees): 3.3709 3.3709 19.2166 90.00 90.00 90.00
Last column: magnetic moment on the atom in μB.
Element x y z (fractional)
Tl 0.0000 0.0000 0.1246  0.02
Tl 0.0000 0.0000 0.3745  0.00
Tl 0.0000 0.0000 0.6255  0.00
Pu 0.5000 0.5000 0.5000  5.60
Sm 0.5000 0.5000 0.0000  -0.01
Pu 0.5000 0.5000 0.2490  -5.60
Tl 0.0000 0.0000 0.8754  0.02
Pu 0.5000 0.5000 0.7510  -5.60

=====

No. 3
Sm2PuTl3 | PBE-GGA | optimized geometry

Uncorrected energy (eV per cell): -32.32
Formation enthalpy at 0 K (eV per atom): -0.24
SG: P4/mmm (123)

Lattice parameters (Å, degrees): 3.5002 3.5002 13.7450 90.00 90.00 90.00
Last column: magnetic moment on the atom in μB.
Element x y z (fractional)
Tl 0.0000 0.0000 0.0000  -0.01
Tl 0.0000 0.0000 0.6673  -0.01
Tl 0.0000 0.0000 0.3327  -0.01
Pu 0.5000 0.5000 0.5000  5.57
Sm 0.5000 0.5000 0.1653  0.01
Sm 0.5000 0.5000 0.8347  0.01

=====

No. 4
SmPuTl4 | PBE-GGA | optimized geometry

Uncorrected energy (eV per cell): -28.34
Formation enthalpy at 0 K (eV per atom): 0.03
SG: F-43m (216)

Lattice parameters (Å, degrees): 6.2389 6.2389 6.2389 60.00 60.00 60.00
Last column: magnetic moment on the atom in μB.
Element x y z (fractional)
Pu 0.0000 0.0000 0.0000  5.69
Tl 0.6249 0.6249 0.1252  0.01
Sm 0.2500 0.2500 0.2500  0.25
Tl 0.6249 0.1252 0.6249  0.01
Tl 0.6249 0.6249 0.6249  0.01
Tl 0.1252 0.6249 0.6249  0.01

=====

No. 5
SmYPuTl | PBE-GGA | optimized geometry

Uncorrected energy (eV per cell): -27.76
Formation enthalpy at 0 K (eV per atom): 0.03
SG: F-43m (216)

Lattice parameters (Å, degrees): 5.4645 5.4645 5.4645 60.00 60.00 60.00
Last column: magnetic moment on the atom in μB.
Element x y z (fractional)
Y 0.2500 0.2500 0.2500  0.26
Tl 0.0000 0.0000 0.0000  -0.05
Sm 0.7500 0.7500 0.7500  0.23
Pu 0.5000 0.5000 0.5000  5.75

=====

No. 6
SmPuTlZn | PBE-GGA | optimized geometry

Uncorrected energy (eV per cell): -23.24
Formation enthalpy at 0 K (eV per atom): -0.14
SG: F-43m (216)

Lattice parameters (Å, degrees): 5.3058 5.3058 5.3058 60.00 60.00 60.00
Last column: magnetic moment on the atom in μB.
Element x y z (fractional)
Sm 0.2500 0.2500 0.2500  0.21
Pu 0.7500 0.7500 0.7500  5.52
Tl 0.0000 0.0000 0.0000  -0.02
Zn 0.5000 0.5000 0.5000  0.04

=====

No. 7
SmTmPu2 | PBE-GGA | optimized geometry

Uncorrected energy (eV per cell): -37.11
Formation enthalpy at 0 K (eV per atom): 0.19
SG: P4/mmm (123)

Lattice parameters (Å, degrees): 5.0414 4.8215 4.8215 90.00 90.00 90.00
Last column: magnetic moment on the atom in μB.
Element x y z (fractional)
Pu 0.0000 0.5000 0.0000  5.56
Sm 0.5000 0.5000 0.5000  0.13
Tm 0.5000 0.0000 0.0000  0.28
Pu 0.0000 0.0000 0.5000  5.56

=====

No. 8
Sm3Tm12Pu | PBE-GGA | optimized geometry

Uncorrected energy (eV per cell): -81.43
Formation enthalpy at 0 K (eV per atom): 0.05
SG: P4/mmm (123)

Lattice parameters (Å, degrees): 4.9625 4.9625 19.7995 90.00 90.00 90.00
Last column: magnetic moment on the atom in μB.
Element x y z (fractional)
Tm 0.5000 0.0000 0.6264  0.04
Tm 0.5000 0.0000 0.8795  0.10
Tm 0.5000 0.5000 0.7521  -0.04
Tm 0.0000 0.5000 0.1205  0.10
Pu 0.0000 0.0000 0.0000  5.56
Tm 0.5000 0.0000 0.1205  0.10
Tm 0.5000 0.0000 0.3736  0.04
Sm 0.0000 0.0000 0.5000  -0.03
Tm 0.0000 0.5000 0.6264  0.04
Tm 0.0000 0.5000 0.3736  0.04
Tm 0.5000 0.5000 0.2479  -0.04
Sm 0.0000 0.0000 0.2472  -0.06
Sm 0.0000 0.0000 0.7528  -0.06
Tm 0.5000 0.5000 0.5000  -0.04
Tm 0.5000 0.5000 0.0000  0.26
Tm 0.0000 0.5000 0.8795  0.10